The following is a DFT calculation (PBE-GGA) of a relaxed LuThAu2 crystal.

Energy relative to the lowest polymorph listed for this composition ... 0 meV/atom
Symmetry ... P4/mmm, No. 123
DOS(E_F) ... 2.83 states/eV per cell
Energy of formation from the pure elements ... -741 meV per atom
E ... -5.37 eV per atom

Cell: 3.5049 3.5049 7.6842 Å, 90.00 90.00 90.00°
Atoms (fractional coordinates):
Lu1 0.0000 0.0000 0.0000
Th1 0.0000 0.0000 0.5000
Au1 0.5000 0.5000 0.2200
Au2 0.5000 0.5000 0.7800